No. 1
An optimized crystal structure of Gd2Er2I5N. Source: the Open Quantum Materials Database, functional PBE-GGA.

Computed properties:
The space-group type is No. 12. The total energy comes out at -47.1 eV/cell.

Lattice parameters (Å, degrees): 10.5581 10.5581 8.5168 101.46 101.46 21.34
Closest atoms and distances in Å follow each position.
Atoms (fractional coordinates):
I: 0.8478 0.8478 0.6722  2 Er 3.02, 1 Gd 3.14
I: 0.5000 0.5000 0.5000  4 Gd 3.27
Gd: 0.0002 0.0002 0.8085  2 N 2.55
N: 0.5000 0.5000 0.0000  2 Er 2.27
Er: 0.6119 0.6119 0.0554  1 N 2.27
I: 0.1531 0.1531 0.8231  2 Er 3.03, 1 Gd 3.15
I: 0.8469 0.8469 0.1769  2 Er 3.03, 1 Gd 3.15
Gd: 0.9998 0.9998 0.1915  2 N 2.55
I: 0.1522 0.1522 0.3278  2 Er 3.02, 1 Gd 3.14
Er: 0.3881 0.3881 0.9446  1 N 2.27

***

No. 2
An optimized crystal structure of GdErI2N. Source: the Open Quantum Materials Database, functional PBE-GGA.

Computed properties:
The space-group type is No. 156. The total energy comes out at -27.5 eV/cell.

Lattice parameters (Å, degrees): 3.7734 3.7734 10.8183 90.00 90.00 120.00
Closest atoms and distances in Å follow each position.
Atoms (fractional coordinates):
Gd: 0.6667 0.3333 0.3826  3 N 2.56
Er: 0.0000 0.0000 0.6164  3 N 2.48
I: 0.6667 0.3333 0.8139  3 Er 3.05
N: 0.3333 0.6667 0.5069  3 Er 2.48, 3 Gd 2.56
I: 0.0000 0.0000 0.1802  3 Gd 3.09

***

No. 3
An optimized crystal structure of GdErPI2. Source: the Open Quantum Materials Database, functional PBE-GGA.

Computed properties:
The space-group type is No. 156. The total energy comes out at -25.3 eV/cell.

Lattice parameters (Å, degrees): 4.0986 4.0986 10.8104 90.00 90.00 120.00
Closest atoms and distances in Å follow each position.
Atoms (fractional coordinates):
Gd: 0.0000 0.0000 0.8628  3 P 2.82, 3 I 3.15
Er: 0.3333 0.6667 0.1375  3 P 2.77
P: 0.6667 0.3333 0.0045  3 Er 2.77, 3 Gd 2.82
I: 0.0000 0.0000 0.3250  3 Er 3.12
I: 0.3333 0.6667 0.6702  3 Gd 3.15

***

No. 4
An optimized crystal structure of GdEr3In2. Source: the Open Quantum Materials Database, functional PBE-GGA.

Computed properties:
The space-group type is No. 187. The total energy comes out at -25.9 eV/cell.

Lattice parameters (Å, degrees): 5.3599 5.3599 6.6904 90.00 90.00 120.00
Closest atoms and distances in Å follow each position.
Atoms (fractional coordinates):
Er: 0.0000 0.0000 0.7482  5 Er 3.32-3.51, 6 In 3.51-3.52, 3 Gd 3.52
Gd: 0.3333 0.6667 0.0000  5 In 3.09-3.35
In: 0.6667 0.3333 0.0000  3 Gd 3.09, 2 Er 3.35
Er: 0.6667 0.3333 0.5000  5 In 3.09-3.35
In: 0.3333 0.6667 0.5000  3 Er 3.09, 2 Gd 3.35
Er: 0.0000 0.0000 0.2518  5 Er 3.32-3.51, 6 In 3.51-3.52, 3 Gd 3.52

***

No. 5
An optimized crystal structure of GdErIn. Source: the Open Quantum Materials Database, functional PBE-GGA.

Computed properties:
The space-group type is No. 194. The calculation puts the energy above the lowest structure with this stoichiometry at 0.0 meV per atom.

Lattice parameters (Å, degrees): 5.3886 5.3886 6.7240 90.00 90.00 120.00
Closest atoms and distances in Å follow each position.
Atoms (fractional coordinates):
In: 0.0000 0.0000 0.0000  5 Er 3.11-3.36
Er: 0.0000 0.0000 0.5000  5 In 3.11-3.36
Gd: 0.6667 0.3333 0.2497  2 Gd 3.36-3.37, 6 Er 3.54, 6 In 3.54
Gd: 0.6667 0.3333 0.7503  2 Gd 3.36-3.37, 6 Er 3.54, 6 In 3.54
Er: 0.3333 0.6667 0.0000  5 In 3.11-3.36
In: 0.3333 0.6667 0.5000  5 Er 3.11-3.36

***

No. 6
An optimized crystal structure of GdErIn5. Source: the Open Quantum Materials Database, functional PBE-GGA.

Computed properties:
The space-group type is No. 123. The total energy comes out at -25.1 eV/cell.

Lattice parameters (Å, degrees): 4.6602 4.6602 8.5809 90.00 90.00 90.00
Closest atoms and distances in Å follow each position.
Atoms (fractional coordinates):
In: 0.5000 0.0000 0.2658  2 Er 3.08, 2 Gd 3.26, 6 In 3.26-3.30
Er: 0.0000 0.0000 0.5000  8 In 3.08
In: 0.5000 0.5000 0.0000  8 In 3.26, 4 Gd 3.30
In: 0.0000 0.5000 0.2658  2 Er 3.08, 6 In 3.26-3.30, 2 Gd 3.26
Gd: 0.0000 0.0000 0.0000  12 In 3.26-3.30
In: 0.5000 0.0000 0.7342  2 Er 3.08, 2 Gd 3.26, 6 In 3.26-3.30
In: 0.0000 0.5000 0.7342  2 Er 3.08, 6 In 3.26-3.30, 2 Gd 3.26